A geometry-optimized SrLiGa2Au structure, computed with PBE-GGA.

Lattice parameters (Å, degrees): 4.6387 4.6387 10.1570 90.00 90.00 90.00
Closest atoms and distances in Å follow each position.
Space group I-4m2 (No. 119)
Symmetry-distinct sites (fractional):
Sr (0.0000, 0.0000, 0.0000)  4 Li 3.44, 4 Au 3.44, 10 Ga 3.52-3.81
Li (0.0000, 0.5000, 0.2500)  4 Ga 2.65
Ga (0.0000, 0.0000, 0.3753)  1 Ga 2.53, 2 Li 2.65, 2 Au 2.65
Au (0.0000, 0.5000, 0.7500)  4 Ga 2.65

- Formation enthalpy at 0 K: -480 meV per atom
- Total DFT energy (no corrections): -3.07 eV per atom


A geometry-optimized La2SeCl structure, computed with PBE-GGA.

Lattice parameters (Å, degrees): 3.6958 4.0895 7.3449 90.00 99.40 90.00
Closest atoms and distances in Å follow each position.
Space group P2/m (No. 10)
Symmetry-distinct sites (fractional):
La (0.1215, 0.0000, 0.2444)  2 Cl 2.86, 2 Se 3.19
Se (0.5000, 0.5000, 0.0000)  8 La 3.19-3.37
Cl (0.0000, 0.5000, 0.5000)  4 La 2.86

- Total DFT energy (no corrections): -5.31 eV per atom
- Offset from the most stable computed form: 265 meV per atom


A geometry-optimized P2IrAu structure, computed with PBE-GGA.

Lattice parameters (Å, degrees): 4.3265 3.8577 4.4425 90.00 100.45 90.00
Closest atoms and distances in Å follow each position.
Space group P2/m (No. 10)
Symmetry-distinct sites (fractional):
P (0.1099, 0.0000, 0.3025)  1 P 2.14, 2 Ir 2.35
Ir (0.0000, 0.5000, 0.0000)  4 P 2.35
Au (0.5000, 0.5000, 0.5000)  4 P 2.61, 2 Ir 2.81

- Formation enthalpy at 0 K: 62 meV per atom
- Total DFT energy (no corrections): -5.68 eV per atom
- Offset from the most stable computed form: 288 meV per atom


A geometry-optimized LiSiP2O structure, computed with PBE-GGA.

Lattice parameters (Å, degrees): 4.9012 4.9012 3.2197 90.00 90.00 90.00
Closest atoms and distances in Å follow each position.
Space group P4/mmm (No. 123)
Symmetry-distinct sites (fractional):
Li (0.0000, 0.0000, 0.0000)  8 P 2.93, 2 Li 3.22
Si (0.5000, 0.5000, 0.5000)  2 O 1.61
P (0.0000, 0.5000, 0.5000)  2 Si 2.45
O (0.5000, 0.5000, 0.0000)  2 Si 1.61

- Total DFT energy (no corrections): -4.93 eV per atom
- Offset from the most stable computed form: 0 meV per atom


A geometry-optimized CoSbH structure, computed with PBE-GGA.

Lattice parameters (Å, degrees): 4.6717 5.0653 7.9157 90.00 124.89 90.00
Closest atoms and distances in Å follow each position.
Space group P2_1/c (No. 14)
Symmetry-distinct sites (fractional):
Co (0.1276, 0.0535, 0.2793)  2 H 1.64
Sb (0.2580, 0.7292, 0.0881)  2 H 2.33-2.59, 3 Co 2.53-2.59
H (0.2155, 0.1378, 0.8536)  2 Co 1.64

- Total DFT energy (no corrections): -4.88 eV per atom
- Offset from the most stable computed form: 0 meV per atom


A geometry-optimized ScAs structure, computed with PBE-GGA.

Lattice parameters (Å, degrees): 4.5455 4.5455 21.3738 90.00 90.00 120.00
Closest atoms and distances in Å follow each position.
Space group R-3m (No. 166, hexagonal axes)
Symmetry-distinct sites (fractional):
Sc (0.0000, 0.0000, 0.2229)  4 As 2.64-2.70
As (0.0000, 0.0000, 0.0965)  4 Sc 2.64-2.70

- Formation enthalpy at 0 K: -823 meV per atom
- Total DFT energy (no corrections): -6.31 eV per atom


A geometry-optimized TaNiRu2C structure, computed with PBE-GGA.

Lattice parameters (Å, degrees): 4.0521 4.0521 3.8902 90.00 90.00 90.00
Closest atoms and distances in Å follow each position.
Space group P4/mmm (No. 123)
Symmetry-distinct sites (fractional):
Ta (0.0000, 0.0000, 0.0000)  8 Ru 2.81, 4 Ni 2.87
Ni (0.5000, 0.5000, 0.0000)  2 C 1.95
Ru (0.0000, 0.5000, 0.5000)  2 C 2.03
C (0.5000, 0.5000, 0.5000)  2 Ni 1.95, 4 Ru 2.03

- Formation enthalpy at 0 K: 47 meV per atom
- Total DFT energy (no corrections): -9.03 eV per atom


A geometry-optimized MgMoPb structure, computed with PBE-GGA.

Lattice parameters (Å, degrees): 3.7749 4.7750 14.3783 90.00 90.00 90.00
Closest atoms and distances in Å follow each position.
Space group Fmm2 (No. 42)
Symmetry-distinct sites (fractional):
Mg (0.0000, 0.0000, 0.0000)  2 Mo 2.78, 4 Mg 3.04
Mo (0.0000, 0.0000, 0.6422)  2 Mg 2.78, 2 Pb 2.94, 4 Mo 3.04
Pb (0.0000, 0.0000, 0.2987)  4 Mo 2.94-3.28, 4 Pb 3.04

- Formation enthalpy at 0 K: 508 meV per atom
- Total DFT energy (no corrections): -4.87 eV per atom
- Offset from the most stable computed form: 0 meV per atom


A geometry-optimized Tl2Sn2Pb5 structure, computed with PBE-GGA.

Lattice parameters (Å, degrees): 15.1484 4.7589 8.0457 90.00 108.36 90.00
Closest atoms and distances in Å follow each position.
Space group C2/m (No. 12)
Symmetry-distinct sites (fractional):
Tl (0.1681, 0.0000, 0.0053)  2 Tl 3.46, 7 Pb 3.48-3.65, 3 Sn 3.52-3.69
Sn (0.2226, 0.5000, 0.3452)  2 Sn 3.35, 7 Pb 3.44-3.63, 3 Tl 3.52-3.69
Pb (0.0000, 0.5000, 0.0000)  4 Tl 3.48, 6 Pb 3.50-3.61, 2 Sn 3.63
Pb (0.0577, 0.0000, 0.3367)  3 Sn 3.44-3.50, 7 Pb 3.48-3.58, 2 Tl 3.57-3.65
Pb (0.1150, 0.5000, 0.6693)  3 Sn 3.45-3.48, 6 Pb 3.48-3.69, 3 Tl 3.50

- Formation enthalpy at 0 K: 18 meV per atom
- Total DFT energy (no corrections): -3.46 eV per atom
- Offset from the most stable computed form: 8 meV per atom


A geometry-optimized Cr4Re11 structure, computed with PBE-GGA.

Lattice parameters (Å, degrees): 9.2986 9.2986 4.9468 90.00 90.00 90.00
Closest atoms and distances in Å follow each position.
Space group P4_2/mnm (No. 136)
Symmetry-distinct sites (fractional):
Cr (0.0644, 0.2578, 0.0000)  9 Re 2.47-2.74, 1 Cr 2.54
Re (0.0000, 0.0000, 0.0000)  4 Cr 2.47
Re (0.0344, 0.3661, 0.5000)  2 Re 2.55-2.57, 4 Cr 2.65-2.69
Re (0.1005, 0.1005, 0.5000)  5 Re 2.55-2.80
Re (0.1884, 0.8116, 0.2513)  2 Re 2.46-2.49, 4 Cr 2.66-2.74

- Formation enthalpy at 0 K: 33 meV per atom
- Total DFT energy (no corrections): -11.66 eV per atom
- Offset from the most stable computed form: 0 meV per atom


A geometry-optimized TcPt2W structure, computed with PBE-GGA.

Lattice parameters (Å, degrees): 9.3191 2.7802 4.8114 90.00 100.02 90.00
Closest atoms and distances in Å follow each position.
Space group C2/m (No. 12)
Symmetry-distinct sites (fractional):
Tc (0.0000, 0.0000, 0.0000)  4 W 2.78, 2 Tc 2.78, 6 Pt 2.79-2.80
Pt (0.2494, 0.5000, 0.2485)  6 Pt 2.77-2.79, 3 Tc 2.79-2.80, 3 W 2.80-2.81
W (0.0000, 0.5000, 0.5000)  4 Tc 2.78, 2 W 2.78, 6 Pt 2.80-2.81

- Formation enthalpy at 0 K: -77 meV per atom
- Total DFT energy (no corrections): -8.93 eV per atom
- Offset from the most stable computed form: 147 meV per atom


A geometry-optimized Zr6ZnHg structure, computed with PBE-GGA.

Lattice parameters (Å, degrees): 4.4033 4.4033 8.8105 90.00 90.00 90.00
Closest atoms and distances in Å follow each position.
Space group P4/mmm (No. 123)
Symmetry-distinct sites (fractional):
Zr (0.0000, 0.0000, 0.0000)  8 Zr 3.07, 4 Zn 3.11
Zr (0.0000, 0.0000, 0.5000)  4 Hg 3.11, 8 Zr 3.16
Zr (0.0000, 0.5000, 0.2430)  2 Zn 3.07, 8 Zr 3.07-3.16, 2 Hg 3.16
Zn (0.5000, 0.5000, 0.0000)  12 Zr 3.07-3.11
Hg (0.5000, 0.5000, 0.5000)  12 Zr 3.11-3.16

- Formation enthalpy at 0 K: -131 meV per atom
- Total DFT energy (no corrections): -6.74 eV per atom
- Offset from the most stable computed form: 14 meV per atom